[1]
Compound: K2Si2Ru
Source: Alexandria
Functional: GGA-PBE
Structure: relaxed

a = 6.294 Å, b = 6.294 Å, c = 5.779 Å
α = 90.00°, β = 90.00°, γ = 90.00°
Sites, in units of the cell vectors:
K1 0.322 0.178 0.500
K2 0.822 0.322 0.500
K3 0.178 0.678 0.500
K4 0.678 0.822 0.500
Si1 0.853 0.647 0.000
Si2 0.147 0.353 0.000
Si3 0.353 0.853 0.000
Si4 0.647 0.147 0.000
Ru1 0.500 0.500 0.000
Ru2 0.000 0.000 0.000

Its calculated total energy is -42.48 eV per cell. The value obtained for the energy above the most stable polymorph in this dataset is 0.000 eV/atom. The calculated density comes out at 3.42 g/cm³. The calculation puts the uncorrected formation energy at 0.216 eV/atom. The calculation puts the total magnetization at 0.00 μB/cell.

---

[2]
Compound: KSiRu4
Source: Alexandria
Functional: GGA-PBE
Structure: relaxed

a = 5.240 Å, b = 5.240 Å, c = 5.240 Å
α = 60.00°, β = 60.00°, γ = 60.00°
Sites, in units of the cell vectors:
Ru1 0.376 0.376 0.871
Ru2 0.376 0.871 0.376
Ru3 0.871 0.376 0.376
Ru4 0.376 0.376 0.376
Si1 0.750 0.750 0.750
K1 0.000 0.000 0.000

Its calculated total energy is -38.04 eV per cell. The calculated density comes out at 7.70 g/cm³. The calculation puts the uncorrected formation energy at 0.931 eV/atom. The calculation puts the total magnetization at 2.58 μB/cell.

---

[3]
Compound: KSiRu2
Source: Alexandria
Functional: GGA-PBE
Structure: relaxed

a = 5.435 Å, b = 5.443 Å, c = 2.670 Å
α = 76.61°, β = 88.43°, γ = 119.51°
Sites, in units of the cell vectors:
Ru1 0.500 0.000 0.500
Ru2 0.000 0.000 0.000
K1 0.500 0.500 0.000
Si1 0.000 0.500 0.500

Its calculated total energy is -20.98 eV per cell. The calculated density comes out at 6.78 g/cm³. The calculation puts the uncorrected formation energy at 1.022 eV/atom. The calculation puts the total magnetization at 0.00 μB/cell.

---

[4]
Compound: KSiRu2
Source: Alexandria
Functional: GGA-PBE
Structure: relaxed

a = 5.900 Å, b = 5.900 Å, c = 5.900 Å
α = 153.16°, β = 128.63°, γ = 58.90°
Sites, in units of the cell vectors:
K1 0.255 0.755 0.500
Ru1 0.743 0.243 0.500
Ru2 0.959 0.959 0.000
Si1 0.543 0.543 0.000

Its calculated total energy is -21.88 eV per cell. The calculated density comes out at 6.22 g/cm³. The calculation puts the uncorrected formation energy at 0.798 eV/atom. The calculation puts the total magnetization at 1.16 μB/cell.

---

[5]
Compound: KSi2Ru2
Source: Alexandria
Functional: GGA-PBE
Structure: relaxed

a = 3.996 Å, b = 3.996 Å, c = 6.228 Å
α = 71.29°, β = 71.29°, γ = 90.00°
Sites, in units of the cell vectors:
Si1 0.250 0.750 0.500
Si2 0.750 0.250 0.500
Ru1 0.373 0.373 0.253
Ru2 0.627 0.627 0.747
K1 0.000 0.000 0.000

Its calculated total energy is -30.29 eV per cell. The value obtained for the energy above the most stable polymorph in this dataset is 0.100 eV/atom. The calculated density comes out at 5.57 g/cm³. The calculation puts the uncorrected formation energy at 0.041 eV/atom. The calculation puts the total magnetization at 0.00 μB/cell.

---

[6]
Compound: KSi2Ru
Source: Alexandria
Functional: GGA-PBE
Structure: relaxed

a = 3.262 Å, b = 4.873 Å, c = 4.458 Å
α = 90.00°, β = 90.00°, γ = 90.00°
Sites, in units of the cell vectors:
Si1 0.500 0.500 0.000
Si2 0.000 0.000 0.000
K1 0.500 0.000 0.500
Ru1 0.000 0.500 0.500

Its calculated total energy is -17.23 eV per cell. The value obtained for the energy above the most stable polymorph in this dataset is 1.098 eV/atom. The calculated density comes out at 4.60 g/cm³. The calculation puts the uncorrected formation energy at 0.998 eV/atom. The calculation puts the total magnetization at 0.00 μB/cell.

---

[7]
Compound: KSi2Ru
Source: Alexandria
Functional: GGA-PBE
Structure: relaxed

a = 3.210 Å, b = 3.156 Å, c = 7.766 Å
α = 90.00°, β = 90.00°, γ = 90.00°
Sites, in units of the cell vectors:
Si1 0.000 0.000 0.975
Si2 0.500 0.500 0.168
K1 0.000 0.000 0.497
Ru1 0.500 0.500 0.860

Its calculated total energy is -20.91 eV per cell. The value obtained for the energy above the most stable polymorph in this dataset is 0.178 eV/atom. The calculated density comes out at 4.14 g/cm³. The calculation puts the uncorrected formation energy at 0.077 eV/atom. The calculation puts the total magnetization at 0.00 μB/cell.

---

[8]
Compound: KSiRu2
Source: Alexandria
Functional: GGA-PBE
Structure: relaxed

a = 3.106 Å, b = 4.534 Å, c = 4.534 Å
α = 90.00°, β = 90.00°, γ = 90.00°
Sites, in units of the cell vectors:
K1 0.500 0.000 0.500
Si1 0.500 0.500 0.000
Ru1 0.000 0.000 0.000
Ru2 0.000 0.500 0.500

Its calculated total energy is -20.77 eV per cell. The calculated density comes out at 7.00 g/cm³. The calculation puts the uncorrected formation energy at 1.075 eV/atom. The calculation puts the total magnetization at 1.11 μB/cell.

---

[9]
Compound: KSiRu2
Source: Alexandria
Functional: GGA-PBE
Structure: relaxed

a = 2.866 Å, b = 2.866 Å, c = 9.146 Å
α = 90.00°, β = 90.00°, γ = 114.59°
Sites, in units of the cell vectors:
K1 0.500 0.500 0.750
Ru1 0.000 0.000 0.441
Ru2 0.000 0.000 0.059
Si1 0.500 0.500 0.250

Its calculated total energy is -23.54 eV per cell. The calculated density comes out at 6.55 g/cm³. The calculation puts the uncorrected formation energy at 0.383 eV/atom. The calculation puts the total magnetization at 0.00 μB/cell.

---

[10]
Compound: KSiRu2
Source: Alexandria
Functional: GGA-PBE
Structure: relaxed

a = 2.971 Å, b = 2.971 Å, c = 8.309 Å
α = 90.00°, β = 90.00°, γ = 90.00°
Sites, in units of the cell vectors:
Si1 0.500 0.500 0.250
K1 0.500 0.500 0.750
Ru1 0.000 0.000 0.090
Ru2 0.000 0.000 0.410

Its calculated total energy is -23.82 eV per cell. The calculated density comes out at 6.10 g/cm³. The calculation puts the uncorrected formation energy at 0.314 eV/atom. The calculation puts the total magnetization at 0.00 μB/cell.

---

[11]
Compound: KSi2Ru
Source: Alexandria
Functional: GGA-PBE
Structure: relaxed

a = 3.802 Å, b = 3.003 Å, c = 7.439 Å
α = 84.38°, β = 90.00°, γ = 90.00°
Sites, in units of the cell vectors:
Si1 0.500 0.116 0.169
Si2 0.000 0.168 0.935
K1 0.000 0.536 0.492
Ru1 0.500 0.680 0.904

Its calculated total energy is -21.19 eV per cell. The value obtained for the energy above the most stable polymorph in this dataset is 0.107 eV/atom. The calculated density comes out at 3.86 g/cm³. The calculation puts the uncorrected formation energy at 0.006 eV/atom. The calculation puts the total magnetization at 0.00 μB/cell.

---

[12]
Compound: KSi2Ru
Source: Alexandria
Functional: GGA-PBE
Structure: relaxed

a = 4.277 Å, b = 4.277 Å, c = 6.918 Å
α = 82.12°, β = 82.12°, γ = 42.45°
Sites, in units of the cell vectors:
Si1 0.522 0.522 0.385
Si2 0.978 0.978 0.115
Ru1 0.250 0.250 0.250
K1 0.750 0.750 0.750

Its calculated total energy is -21.59 eV per cell. The value obtained for the energy above the most stable polymorph in this dataset is 0.007 eV/atom. The calculated density comes out at 3.86 g/cm³. The calculation puts the uncorrected formation energy at -0.094 eV/atom. The calculation puts the total magnetization at 0.00 μB/cell.

---

Which of these has the highest calculated density? KSiRu4

---

What did the first record say?
Compound: K2Si2Ru
Source: Alexandria
Functional: GGA-PBE
Structure: relaxed

a = 6.294 Å, b = 6.294 Å, c = 5.779 Å
α = 90.00°, β = 90.00°, γ = 90.00°
Sites, in units of the cell vectors:
K1 0.322 0.178 0.500
K2 0.822 0.322 0.500
K3 0.178 0.678 0.500
K4 0.678 0.822 0.500
Si1 0.853 0.647 0.000
Si2 0.147 0.353 0.000
Si3 0.353 0.853 0.000
Si4 0.647 0.147 0.000
Ru1 0.500 0.500 0.000
Ru2 0.000 0.000 0.000

Its calculated total energy is -42.48 eV per cell. The value obtained for the energy above the most stable polymorph in this dataset is 0.000 eV/atom. The calculated density comes out at 3.42 g/cm³. The calculation puts the uncorrected formation energy at 0.216 eV/atom. The calculation puts the total magnetization at 0.00 μB/cell.

---

Look up the calculated total energy of the fourth one. -21.88 eV per cell